MgOs2Pt | SCAN | single point on PBEsol structure

Properties
The space group is P4/mmm, No. 123. For the calculated total energy, the calculation gives -54.667 eV/atom. The formation energy comes out at 0.06 eV per atom.

Cell: 3.732 3.732 4.196 Å, 90.00 90.00 90.00°
Fractional coordinates of all 4 atoms:
Pt 0.500 0.500 0.500
Os 0.000 0.500 0.000
Mg 0.000 0.000 0.500
Os 0.500 0.000 0.000

=====

KBaAs2 | SCAN | single point on PBEsol structure

Properties
The space group is C2/m, No. 12. The energy relative to the lowest polymorph listed for this composition comes out at 129 meV per atom. For the calculated total energy, the calculation gives -22.770 eV/atom. The formation energy comes out at -0.70 eV per atom.

Cell: 4.573 6.080 6.194 Å, 67.92 68.34 67.91°
Fractional coordinates of all 4 atoms:
As 0.250 0.596 0.905
K 0.000 0.500 0.500
As 0.750 0.404 0.095
Ba 0.500 0.000 0.000

=====

Y3MoS | SCAN | single point on PBEsol structure

Properties
The space group is Pm-3m, No. 221. For the calculated total energy, the calculation gives -25.318 eV/atom. The uncorrected formation energy comes out at 1.5 eV/f.u.

Cell: 5.214 5.214 5.214 Å, 90.00 90.00 90.00°
Fractional coordinates of all 5 atoms:
Mo 0.000 0.000 0.000
S 0.500 0.500 0.500
Y 0.500 0.000 0.000
Y 0.000 0.500 0.000
Y 0.000 0.000 0.500

=====

AsN2ClF | SCAN | single point on PBEsol structure

Properties
The space group is P4/mmm, No. 123. For the calculated total energy, the calculation gives -9.011 eV/atom. The uncorrected formation energy comes out at 5.2 eV/f.u.

Cell: 3.870 3.827 3.827 Å, 90.00 90.00 90.00°
Fractional coordinates of all 5 atoms:
N 0.000 0.000 0.500
As 0.000 0.000 0.000
F 0.500 0.000 0.000
N 0.000 0.500 0.000
Cl 0.500 0.500 0.500

=====

Sc2CoSi2 | SCAN | single point on PBEsol structure

Properties
The space group is P4/mbm, No. 127. For the calculated total energy, the calculation gives -13.886 eV/atom. The uncorrected formation energy comes out at -3.6 eV/f.u.

Cell: 4.162 6.089 6.089 Å, 90.00 90.00 90.00°
Fractional coordinates of all 10 atoms:
Sc 0.500 0.672 0.828
Si 0.000 0.360 0.860
Sc 0.500 0.172 0.672
Sc 0.500 0.828 0.328
Si 0.000 0.640 0.140
Si 0.000 0.860 0.640
Si 0.000 0.140 0.360
Co 0.000 0.000 0.000
Co 0.000 0.500 0.500
Sc 0.500 0.328 0.172

=====

CeFeSi | SCAN | single point on PBEsol structure

Properties
The space group is P4/nmm, No. 129. For the calculated total energy, the calculation gives -24.758 eV/atom. The uncorrected formation energy comes out at -1.6 eV/f.u.

Cell: 3.986 3.986 6.562 Å, 90.00 90.00 90.00°
Fractional coordinates of all 6 atoms:
Fe 0.000 0.000 0.000
Si 0.500 0.000 0.179
Si 0.000 0.500 0.821
Fe 0.500 0.500 0.000
Ce 0.500 0.000 0.686
Ce 0.000 0.500 0.314

=====

Ta3NbAl | SCAN | single point on PBEsol structure

Properties
The space group is Pm-3m, No. 221. For the calculated total energy, the calculation gives -46.822 eV/atom. The formation energy comes out at 1.30 eV per atom.

Cell: 4.636 4.636 4.636 Å, 90.00 90.00 90.00°
Fractional coordinates of all 5 atoms:
Al 0.000 0.000 0.000
Ta 0.000 0.000 0.500
Ta 0.500 0.000 0.000
Ta 0.000 0.500 0.000
Nb 0.500 0.500 0.500

=====

Fe5As | SCAN | single point on PBEsol structure

Properties
The space group is P4/mmm, No. 123. For the calculated total energy, the calculation gives -18.459 eV/atom. The formation energy comes out at 0.01 eV per atom.

Cell: 2.877 2.877 8.163 Å, 90.00 90.00 90.00°
Fractional coordinates of all 6 atoms:
Fe 0.500 0.500 0.666
Fe 0.000 0.000 0.165
Fe 0.000 0.000 0.835
Fe 0.000 0.000 0.500
As 0.500 0.500 0.000
Fe 0.500 0.500 0.334

=====

Te2IrRh | SCAN | single point on PBEsol structure

Properties
The space group is I-42d, No. 122. The energy relative to the lowest polymorph listed for this composition comes out at 0 meV per atom. For the calculated total energy, the calculation gives -44.863 eV/atom. The uncorrected formation energy comes out at -0.1 eV/f.u.

Cell: 5.923 5.923 7.042 Å, 114.87 114.87 90.00°
Fractional coordinates of all 8 atoms:
Ir 0.000 0.000 0.000
Rh 0.500 0.500 0.000
Ir 0.250 0.750 0.500
Rh 0.750 0.250 0.500
Te 0.625 0.624 0.750
Te 0.874 0.375 0.250
Te 0.125 0.126 0.750
Te 0.376 0.875 0.250

=====

Ba2PbCl | SCAN | single point on PBEsol structure

Properties
The space group is P2/m, No. 10. The energy relative to the lowest polymorph listed for this composition comes out at 12 meV per atom. For the calculated total energy, the calculation gives -42.172 eV/atom. The uncorrected formation energy comes out at -5.8 eV/f.u.

Cell: 4.114 4.300 8.896 Å, 90.45 90.00 90.00°
Fractional coordinates of all 4 atoms:
Ba 0.000 0.996 0.770
Ba 0.000 0.004 0.230
Pb 0.500 0.500 0.000
Cl 0.500 0.000 0.500

=====

Cs2MgCoS | SCAN | single point on PBEsol structure

Properties
The space group is P4/mmm, No. 123. For the calculated total energy, the calculation gives -21.507 eV/atom. The uncorrected formation energy comes out at 0.0 eV/f.u.

Cell: 4.836 6.728 6.728 Å, 90.00 90.00 90.00°
Fractional coordinates of all 5 atoms:
Co 0.500 0.500 0.500
Mg 0.500 0.000 0.000
Cs 0.000 0.500 0.000
Cs 0.000 0.000 0.500
S 0.000 0.000 0.000

=====

CrOs2Au | SCAN | single point on PBEsol structure

Properties
The space group is F-43m, No. 216. The energy relative to the lowest polymorph listed for this composition comes out at 311 meV per atom. For the calculated total energy, the calculation gives -57.221 eV/atom. The formation energy comes out at 0.60 eV per atom.

Cell: 4.348 4.348 4.348 Å, 60.00 60.00 60.00°
Fractional coordinates of all 4 atoms:
Au 0.500 0.500 0.500
Cr 0.250 0.250 0.250
Os 0.000 0.000 0.000
Os 0.750 0.750 0.750

=====

> Which of these has the highest calculated total energy?

AsN2ClF

=====

> Which of these has the highest calculated total energy?

AsN2ClF

=====

> Which of these has the highest calculated total energy?

AsN2ClF

=====

> What is the calculated total energy in the tenth record?

-42.172 eV/atom